# 1
Material: Na4NdY3Te8
Method: DFT, PBE
State: optimized geometry

Structure (POSCAR):
```
Na4NdY3Te8
1.0
4.461 2.575 7.570
-4.461 2.575 7.570
0.000 -5.151 7.570
Na Nd Y Te
4 1 3 8
Cartesian
0.000 0.000 0.000
-2.230 -1.288 7.570
-2.230 1.288 15.140
0.000 2.575 7.570
0.000 0.000 11.355
-4.461 0.000 11.355
-2.230 1.288 3.785
2.230 1.288 3.785
-2.273 -1.312 13.133
0.000 0.000 5.537
0.000 -2.624 9.577
-2.273 1.312 9.577
2.273 -1.312 13.133
0.000 2.624 13.133
0.000 0.000 17.173
2.273 1.312 9.577
```



# 2
Material: Na3NdZr2Te6
Method: DFT, PBE
State: optimized geometry

Structure (POSCAR):
```
Na3NdZr2Te6
1.0
3.668 -6.370 0.000
3.668 6.370 0.000
-2.471 0.000 7.754
Na Nd Zr Te
3 1 2 6
Cartesian
0.000 0.000 0.000
3.668 2.008 0.000
3.668 -2.008 0.000
2.432 0.000 3.877
2.432 4.215 3.877
2.432 -4.215 3.877
1.136 2.250 2.082
-0.171 0.000 5.645
1.136 -2.250 2.082
3.728 2.250 5.672
5.035 0.000 2.109
3.728 -2.250 5.672
```



# 3
Material: Na2NdZr2Te6
Method: DFT, PBE
State: optimized geometry

Structure (POSCAR):
```
Na2NdZr2Te6
1.0
3.642 -6.368 0.000
3.642 6.368 0.000
-2.355 0.000 7.763
Na Nd Zr Te
2 1 2 6
Cartesian
3.642 4.369 0.000
3.642 -4.369 0.000
-1.178 0.000 3.881
2.464 2.137 3.881
2.464 -2.137 3.881
0.110 2.248 5.663
1.441 0.000 2.109
0.110 -2.248 5.663
4.818 2.248 2.100
3.487 0.000 5.654
4.818 -2.248 2.100
```



no.,ΔE_f (raw) (kcal/mol of atoms),density (g cm⁻³),magnetic moment (μB/f.u.)
1,-30.65,4.85,0.0
2,-23.66,5.32,0.0
3,-23.78,5.25,0.0